(1)
The following is a GGA-PBE calculation of TlH2Rh after structural relaxation, from Alexandria via LeMat-Bulk.

Summary:
Its symmetry is I-42d. The calculated total energy comes out at -3.9623 eV per atom.

Cell lengths 5.6380, 5.6380, 5.6380 Å; angles 129.25, 129.25, 74.60 degrees
Positions (direct):
1 Tl 0.0000 0.0000 0.0000
2 Tl 0.7500 0.2500 0.5000
3 H 0.2996 0.6250 0.1746
4 H 0.3750 0.5496 0.6746
5 H 0.4504 0.1250 0.8254
6 H 0.8750 0.7004 0.3254
7 Rh 0.2500 0.7500 0.5000
8 Rh 0.5000 0.5000 0.0000



(2)
The following is a GGA-PBE calculation of Tl2H2Rh after structural relaxation, from Alexandria via LeMat-Bulk.

Summary:
Its symmetry is I4/mmm. The calculated total energy comes out at -3.2469 eV per atom.

Cell lengths 7.1273, 7.1273, 7.1273 Å; angles 153.42, 153.42, 37.94 degrees
Positions (direct):
1 Tl 0.1313 0.1313 0.0000
2 Tl 0.8687 0.8687 0.0000
3 H 0.2500 0.7500 0.5000
4 H 0.7500 0.2500 0.5000
5 Rh 0.5000 0.5000 0.0000



(3)
The following is a GGA-PBE calculation of TlH2Rh after structural relaxation, from Alexandria via LeMat-Bulk.

Summary:
Its symmetry is P4/mmm. The calculated total energy comes out at -3.7368 eV per atom.

Cell lengths 2.9285, 2.9285, 5.7704 Å; angles 90.00, 90.00, 90.00 degrees
Positions (direct):
1 Tl 0.0000 0.0000 0.0000
2 H 0.5000 0.5000 0.4151
3 H 0.5000 0.5000 0.5849
4 Rh 0.0000 0.0000 0.5000



(4)
The following is a GGA-PBE calculation of TlHRh2 after structural relaxation, from Alexandria via LeMat-Bulk.

Summary:
Its symmetry is R-3m. The calculated total energy comes out at -4.9176 eV per atom.

Cell lengths 6.9114, 6.9114, 6.9114 Å; angles 25.40, 25.40, 25.40 degrees
Positions (direct):
1 Tl 0.0000 0.0000 0.0000
2 H 0.5000 0.5000 0.5000
3 Rh 0.2224 0.2224 0.2224
4 Rh 0.7776 0.7776 0.7776



(5)
The following is a GGA-PBE calculation of TlHRh after structural relaxation, from Alexandria via LeMat-Bulk.

Summary:
Its symmetry is I4mm. The calculated total energy comes out at -4.1222 eV per atom.

Cell lengths 5.3537, 5.3537, 5.3537 Å; angles 148.27, 148.27, 45.49 degrees
Positions (direct):
1 Tl 0.0000 0.0000 0.0000
2 H 0.2481 0.2481 0.0000
3 Rh 0.7206 0.7206 0.0000



(6)
The following is a GGA-PBE calculation of TlH2Rh after structural relaxation, from Alexandria via LeMat-Bulk.

Summary:
Its symmetry is C2/c. The calculated total energy comes out at -4.1121 eV per atom.

Cell lengths 5.0709, 5.0709, 5.4261 Å; angles 104.05, 104.05, 117.64 degrees
Positions (direct):
1 Tl 0.1336 0.8664 0.7500
2 Tl 0.8664 0.1336 0.2500
3 H 0.2826 0.4957 0.9837
4 H 0.4957 0.2826 0.4837
5 H 0.5043 0.7174 0.5163
6 H 0.7174 0.5043 0.0163
7 Rh 0.4658 0.5342 0.7500
8 Rh 0.5342 0.4658 0.2500



(7)
The following is a GGA-PBE calculation of TlHRh2 after structural relaxation, from Alexandria via LeMat-Bulk.

Summary:
Its symmetry is R3m. The calculated total energy comes out at -4.9218 eV per atom.

Cell lengths 6.8654, 6.8654, 6.8654 Å; angles 25.79, 25.79, 25.79 degrees
Positions (direct):
1 Tl 0.0000 0.0000 0.0000
2 H 0.1846 0.1846 0.1846
3 Rh 0.5540 0.5540 0.5540
4 Rh 0.7763 0.7763 0.7763



(8)
The following is a GGA-PBE calculation of Tl3H12Rh5 after structural relaxation, from Alexandria via LeMat-Bulk.

Summary:
Its symmetry is Ia-3d. The calculated total energy comes out at -4.0587 eV per atom.

Cell lengths 10.1819, 10.1819, 10.1819 Å; angles 109.47, 109.47, 109.47 degrees
Positions (direct):
1 Tl 0.1250 0.2500 0.3750
2 Tl 0.1250 0.3750 0.7500
3 Tl 0.2500 0.3750 0.1250
4 Tl 0.2500 0.8750 0.6250
5 Tl 0.3750 0.1250 0.2500
6 Tl 0.3750 0.7500 0.1250
7 Tl 0.6250 0.2500 0.8750
8 Tl 0.6250 0.8750 0.7500
9 Tl 0.7500 0.1250 0.3750
10 Tl 0.7500 0.6250 0.8750
11 Tl 0.8750 0.6250 0.2500
12 Tl 0.8750 0.7500 0.6250
13 H 0.0222 0.6921 0.0815
14 H 0.0222 0.8301 0.9407
15 H 0.0593 0.5815 0.8894
16 H 0.0593 0.9778 0.1699
17 H 0.0815 0.0222 0.6921
18 H 0.0815 0.5593 0.3894
19 H 0.1106 0.6699 0.6921
20 H 0.1106 0.9407 0.4185
21 H 0.1699 0.0593 0.9778
22 H 0.1699 0.6106 0.1921
23 H 0.1921 0.1699 0.6106
24 H 0.1921 0.5222 0.5815
25 H 0.3079 0.8894 0.3301
26 H 0.3079 0.9185 0.9778
27 H 0.3301 0.3079 0.8894
28 H 0.3301 0.5222 0.4407
29 H 0.3894 0.0815 0.5593
30 H 0.3894 0.8079 0.8301
31 H 0.4185 0.1106 0.9407
32 H 0.4185 0.8079 0.4778
33 H 0.4407 0.3301 0.5222
34 H 0.4407 0.6106 0.9185
35 H 0.4778 0.4185 0.8079
36 H 0.4778 0.5593 0.6699
37 H 0.5222 0.4407 0.3301
38 H 0.5222 0.5815 0.1921
39 H 0.5593 0.3894 0.0815
40 H 0.5593 0.6699 0.4778
41 H 0.5815 0.1921 0.5222
42 H 0.5815 0.8894 0.0593
43 H 0.6106 0.1921 0.1699
44 H 0.6106 0.9185 0.4407
45 H 0.6699 0.4778 0.5593
46 H 0.6699 0.6921 0.1106
47 H 0.6921 0.0815 0.0222
48 H 0.6921 0.1106 0.6699
49 H 0.8079 0.4778 0.4185
50 H 0.8079 0.8301 0.3894
51 H 0.8301 0.3894 0.8079
52 H 0.8301 0.9407 0.0222
53 H 0.8894 0.0593 0.5815
54 H 0.8894 0.3301 0.3079
55 H 0.9185 0.4407 0.6106
56 H 0.9185 0.9778 0.3079
57 H 0.9407 0.0222 0.8301
58 H 0.9407 0.4185 0.1106
59 H 0.9778 0.1699 0.0593
60 H 0.9778 0.3079 0.9185
61 Rh 0.0000 0.0000 0.0000
62 Rh 0.0000 0.0000 0.5000
63 Rh 0.0000 0.5000 0.0000
64 Rh 0.0000 0.5000 0.5000
65 Rh 0.1250 0.7500 0.8750
66 Rh 0.1250 0.8750 0.2500
67 Rh 0.2500 0.1250 0.8750
68 Rh 0.2500 0.6250 0.3750
69 Rh 0.3750 0.2500 0.6250
70 Rh 0.3750 0.6250 0.7500
71 Rh 0.5000 0.0000 0.0000
72 Rh 0.5000 0.0000 0.5000
73 Rh 0.5000 0.5000 0.0000
74 Rh 0.5000 0.5000 0.5000
75 Rh 0.6250 0.3750 0.2500
76 Rh 0.6250 0.7500 0.3750
77 Rh 0.7500 0.3750 0.6250
78 Rh 0.7500 0.8750 0.1250
79 Rh 0.8750 0.1250 0.7500
80 Rh 0.8750 0.2500 0.1250



(9)
The following is a GGA-PBE calculation of TlH2Rh after structural relaxation, from Alexandria via LeMat-Bulk.

Summary:
Its symmetry is R3m. The calculated total energy comes out at -4.0264 eV per atom.

Cell lengths 5.6774, 5.6774, 5.6774 Å; angles 32.80, 32.80, 32.80 degrees
Positions (direct):
1 Tl 0.0000 0.0000 0.0000
2 H 0.5113 0.5113 0.5113
3 H 0.8222 0.8222 0.8222
4 Rh 0.1783 0.1783 0.1783



(10)
The following is a GGA-PBE calculation of TlHRh after structural relaxation, from Alexandria via LeMat-Bulk.

Summary:
Its symmetry is C2/m. The calculated total energy comes out at -4.3134 eV per atom.

Cell lengths 7.3191, 7.3191, 4.7202 Å; angles 101.61, 101.61, 23.74 degrees
Positions (direct):
1 Tl 0.0805 0.0805 0.2968
2 Tl 0.9195 0.9195 0.7032
3 H 0.3012 0.3012 0.1304
4 H 0.6988 0.6988 0.8696
5 Rh 0.2512 0.2512 0.7452
6 Rh 0.7488 0.7488 0.2548



(11)
The following is a GGA-PBE calculation of TlVH2Rh after structural relaxation, from Alexandria via LeMat-Bulk.

Summary:
Its symmetry is P4/mmm. The calculated total energy comes out at -4.3320 eV per atom.

Cell lengths 3.6282, 3.6282, 5.7878 Å; angles 90.00, 90.00, 90.00 degrees
Positions (direct):
1 Tl 0.0000 0.0000 0.0000
2 V 0.5000 0.5000 0.5000
3 H 0.0000 0.5000 0.0000
4 H 0.5000 0.0000 0.0000
5 Rh 0.0000 0.0000 0.5000



(12)
The following is a GGA-PBE calculation of YTlHRh2 after structural relaxation, from Alexandria via LeMat-Bulk.

Summary:
Its symmetry is P4/mmm. The calculated total energy comes out at -5.7137 eV per atom.

Cell lengths 4.3088, 4.3088, 4.2171 Å; angles 90.00, 90.00, 90.00 degrees
Positions (direct):
1 Y 0.0000 0.0000 0.0000
2 Tl 0.5000 0.5000 0.0000
3 H 0.0000 0.0000 0.5000
4 Rh 0.0000 0.5000 0.5000
5 Rh 0.5000 0.0000 0.5000



(13)
The following is a GGA-PBE calculation of TmH7Rh2 after structural relaxation, from Alexandria via LeMat-Bulk.

Summary:
Its symmetry is Cmmm. The calculated total energy comes out at -4.5366 eV per atom.

Cell lengths 4.9987, 4.9987, 3.5871 Å; angles 90.00, 90.00, 113.28 degrees
Positions (direct):
1 Tm 0.0000 0.0000 0.0000
2 H 0.0653 0.3235 0.5000
3 H 0.2966 0.7034 0.0000
4 H 0.3235 0.0653 0.5000
5 H 0.5000 0.5000 0.5000
6 H 0.6765 0.9347 0.5000
7 H 0.7034 0.2966 0.0000
8 H 0.9347 0.6765 0.5000
9 Rh 0.2964 0.7036 0.5000
10 Rh 0.7036 0.2964 0.5000



(14)
The following is a GGA-PBE calculation of TmH2Rh after structural relaxation, from Alexandria via LeMat-Bulk.

Summary:
Its symmetry is Pna2_1. The calculated total energy comes out at -5.2514 eV per atom.

Cell lengths 6.1086, 6.2493, 4.8640 Å; angles 90.00, 90.00, 90.00 degrees
Positions (direct):
1 Tm 0.1780 0.1253 0.0000
2 Tm 0.3220 0.6253 0.5000
3 Tm 0.6780 0.3747 0.0000
4 Tm 0.8220 0.8747 0.5000
5 H 0.0271 0.4344 0.8155
6 H 0.1628 0.1096 0.5003
7 H 0.3372 0.6096 0.0003
8 H 0.4729 0.9344 0.3155
9 H 0.5271 0.0656 0.8155
10 H 0.6628 0.3904 0.5003
11 H 0.8372 0.8904 0.0003
12 H 0.9729 0.5656 0.3155
13 Rh 0.0415 0.6892 0.9938
14 Rh 0.4585 0.1892 0.4938
15 Rh 0.5415 0.8108 0.9938
16 Rh 0.9585 0.3108 0.4938



(15)
The following is a GGA-PBE calculation of TmHRh after structural relaxation, from Alexandria via LeMat-Bulk.

Summary:
Its symmetry is C2. The calculated total energy comes out at -5.4822 eV per atom.

Cell lengths 5.4790, 5.4790, 12.1638 Å; angles 91.23, 91.23, 86.39 degrees
Positions (direct):
1 Tm 0.0000 0.0000 0.0000
2 Tm 0.1690 0.5044 0.1488
3 Tm 0.2783 0.4341 0.6214
4 Tm 0.4956 0.8310 0.8512
5 Tm 0.5659 0.7217 0.3786
6 Tm 0.6898 0.2071 0.2279
7 Tm 0.7929 0.3102 0.7721
8 Tm 0.8035 0.1965 0.5000
9 H 0.3626 0.6374 0.0000
10 H 0.3900 0.4380 0.2937
11 H 0.5272 0.4728 0.5000
12 H 0.5598 0.0994 0.3750
13 H 0.5620 0.6100 0.7063
14 H 0.5865 0.0806 0.9930
15 H 0.9006 0.4402 0.6250
16 H 0.9194 0.4135 0.0070
17 Rh 0.0514 0.9052 0.7225
18 Rh 0.0586 0.4612 0.3586
19 Rh 0.0947 0.5546 0.9056
20 Rh 0.0948 0.9486 0.2775
21 Rh 0.1501 0.8499 0.5000
22 Rh 0.4454 0.9053 0.0944
23 Rh 0.5388 0.9414 0.6414
24 Rh 0.6025 0.3975 0.0000



(16)
The following is a GGA-PBE calculation of TmHRh2 after structural relaxation, from Alexandria via LeMat-Bulk.

Summary:
Its symmetry is R-3m. The calculated total energy comes out at -5.4033 eV per atom.

Cell lengths 7.6251, 7.6251, 7.6251 Å; angles 22.45, 22.45, 22.45 degrees
Positions (direct):
1 Tm 0.0000 0.0000 0.0000
2 H 0.5000 0.5000 0.5000
3 Rh 0.1153 0.1153 0.1153
4 Rh 0.8847 0.8847 0.8847



(17)
The following is a GGA-PBE calculation of Tm12H5Rh3 after structural relaxation, from Alexandria via LeMat-Bulk.

Summary:
Its symmetry is Ia-3d. The calculated total energy comes out at -5.0889 eV per atom.

Cell lengths 12.8406, 12.8406, 12.8406 Å; angles 109.47, 109.47, 109.47 degrees
Positions (direct):
1 Tm 0.0256 0.2158 0.1204
2 Tm 0.0256 0.3098 0.9052
3 Tm 0.0948 0.6204 0.4046
4 Tm 0.0954 0.7158 0.6902
5 Tm 0.0954 0.8796 0.4052
6 Tm 0.0948 0.9744 0.6902
7 Tm 0.1204 0.0256 0.2158
8 Tm 0.1204 0.5948 0.9046
9 Tm 0.1902 0.2158 0.5954
10 Tm 0.1902 0.4744 0.5948
11 Tm 0.2158 0.1204 0.0256
12 Tm 0.2158 0.5954 0.1902
13 Tm 0.2842 0.3098 0.9046
14 Tm 0.2842 0.4744 0.3796
15 Tm 0.3098 0.9052 0.0256
16 Tm 0.3098 0.9046 0.2842
17 Tm 0.3796 0.2842 0.4744
18 Tm 0.3796 0.5954 0.9052
19 Tm 0.4046 0.0948 0.6204
20 Tm 0.4052 0.0954 0.8796
21 Tm 0.4052 0.8098 0.5256
22 Tm 0.4046 0.8098 0.7842
23 Tm 0.4744 0.3796 0.2842
24 Tm 0.4744 0.5948 0.1902
25 Tm 0.5256 0.4052 0.8098
26 Tm 0.5256 0.6204 0.7158
27 Tm 0.5954 0.1902 0.2158
28 Tm 0.5948 0.1902 0.4744
29 Tm 0.5948 0.9046 0.1204
30 Tm 0.5954 0.9052 0.3796
31 Tm 0.6204 0.4046 0.0948
32 Tm 0.6204 0.7158 0.5256
33 Tm 0.6902 0.0954 0.7158
34 Tm 0.6902 0.0948 0.9744
35 Tm 0.7158 0.5256 0.6204
36 Tm 0.7158 0.6902 0.0954
37 Tm 0.7842 0.4046 0.8098
38 Tm 0.7842 0.8796 0.9744
39 Tm 0.8098 0.5256 0.4052
40 Tm 0.8098 0.7842 0.4046
41 Tm 0.8796 0.4052 0.0954
42 Tm 0.8796 0.9744 0.7842
43 Tm 0.9052 0.0256 0.3098
44 Tm 0.9046 0.1204 0.5948
45 Tm 0.9046 0.2842 0.3098
46 Tm 0.9052 0.3796 0.5954
47 Tm 0.9744 0.6902 0.0948
48 Tm 0.9744 0.7842 0.8796
49 H 0.0000 0.0000 0.0000
50 H 0.0000 0.0000 0.5000
51 H 0.0000 0.5000 0.0000
52 H 0.0000 0.5000 0.5000
53 H 0.1250 0.7500 0.8750
54 H 0.1250 0.8750 0.2500
55 H 0.2500 0.1250 0.8750
56 H 0.2500 0.6250 0.3750
57 H 0.3750 0.2500 0.6250
58 H 0.3750 0.6250 0.7500
59 H 0.5000 0.0000 0.0000
60 H 0.5000 0.0000 0.5000
61 H 0.5000 0.5000 0.0000
62 H 0.5000 0.5000 0.5000
63 H 0.6250 0.3750 0.2500
64 H 0.6250 0.7500 0.3750
65 H 0.7500 0.3750 0.6250
66 H 0.7500 0.8750 0.1250
67 H 0.8750 0.1250 0.7500
68 H 0.8750 0.2500 0.1250
69 Rh 0.1250 0.2500 0.3750
70 Rh 0.1250 0.3750 0.7500
71 Rh 0.2500 0.3750 0.1250
72 Rh 0.2500 0.8750 0.6250
73 Rh 0.3750 0.1250 0.2500
74 Rh 0.3750 0.7500 0.1250
75 Rh 0.6250 0.2500 0.8750
76 Rh 0.6250 0.8750 0.7500
77 Rh 0.7500 0.1250 0.3750
78 Rh 0.7500 0.6250 0.8750
79 Rh 0.8750 0.6250 0.2500
80 Rh 0.8750 0.7500 0.6250



(18)
The following is a GGA-PBE calculation of TmH8Rh2 after structural relaxation, from Alexandria via LeMat-Bulk.

Summary:
Its symmetry is Cmmm. The calculated total energy comes out at -4.3915 eV per atom.

Cell lengths 5.5183, 5.5183, 3.6384 Å; angles 90.00, 90.00, 120.10 degrees
Positions (direct):
1 Tm 0.0000 0.0000 0.0000
2 H 0.1321 0.3933 0.5000
3 H 0.2334 0.7666 0.0000
4 H 0.3933 0.1321 0.5000
5 H 0.5000 0.5000 0.1056
6 H 0.5000 0.5000 0.8944
7 H 0.6067 0.8679 0.5000
8 H 0.7666 0.2334 0.0000
9 H 0.8679 0.6067 0.5000
10 Rh 0.2265 0.7735 0.5000
11 Rh 0.7735 0.2265 0.5000